Entry A
The following is a DFT calculation (PBE-GGA) of crystalline Sm3ErTm3 at its relaxed geometry.

Summary:
Mass density (g cm⁻³): 8.3
M_tot (Bohr magnetons per cell): 0.00

a b c (Å): 5.6779 9.5396 9.5406
angles (deg): 120.00 90.00 90.00
With the nearest neighbours (Å) after each atom.
Atoms (fractional coordinates):
Sm 0.7500 0.7577 0.8063  5 Tm 3.51-3.63, 6 Sm 3.54-3.67, 1 Er 3.57
Sm 0.7500 0.0485 0.2425  5 Tm 3.51-3.63, 6 Sm 3.54-3.67, 1 Er 3.57
Sm 0.7500 0.1938 0.9515  5 Tm 3.51-3.63, 6 Sm 3.54-3.67, 1 Er 3.57
Sm 0.2500 0.2423 0.1937  5 Tm 3.51-3.63, 6 Sm 3.54-3.67, 1 Er 3.57
Sm 0.2500 0.9515 0.7575  5 Tm 3.51-3.63, 6 Sm 3.54-3.67, 1 Er 3.57
Sm 0.2500 0.8062 0.0485  5 Tm 3.51-3.63, 6 Sm 3.54-3.67, 1 Er 3.57
Er 0.7500 0.3334 0.6668  9 Tm 3.52-3.60, 3 Sm 3.57
Er 0.2500 0.6666 0.3332  9 Tm 3.52-3.60, 3 Sm 3.57
Tm 0.2500 0.5220 0.6169  4 Tm 3.50-3.60, 5 Sm 3.51-3.63, 3 Er 3.52-3.60
Tm 0.2500 0.0951 0.4781  4 Tm 3.50-3.60, 5 Sm 3.51-3.63, 3 Er 3.52-3.60
Tm 0.2500 0.3831 0.9050  4 Tm 3.50-3.60, 5 Sm 3.51-3.63, 3 Er 3.52-3.60
Tm 0.7500 0.4780 0.3831  4 Tm 3.50-3.60, 5 Sm 3.51-3.63, 3 Er 3.52-3.60
Tm 0.7500 0.9049 0.5219  4 Tm 3.50-3.60, 5 Sm 3.51-3.63, 3 Er 3.52-3.60
Tm 0.7500 0.6169 0.0950  4 Tm 3.50-3.60, 5 Sm 3.51-3.63, 3 Er 3.52-3.60

Entry B
The following is a DFT calculation (PBE-GGA) of crystalline Sm3ErTm3 at its relaxed geometry.

Summary:
Mass density (g cm⁻³): 8.0
M_tot (Bohr magnetons per cell): 0.00

a b c (Å): 6.1596 6.1596 14.6479
angles (deg): 77.86 77.86 60.00
With the nearest neighbours (Å) after each atom.
Atoms (fractional coordinates):
Sm 0.1997 0.8686 0.3935  3 Tm 3.49-3.50, 9 Sm 3.53-3.66
Sm 0.5382 0.1997 0.3935  3 Tm 3.49-3.50, 9 Sm 3.53-3.66
Sm 0.8686 0.5382 0.3935  3 Tm 3.49-3.50, 9 Sm 3.53-3.66
Sm 0.1314 0.4618 0.6065  3 Tm 3.49-3.50, 9 Sm 3.53-3.66
Sm 0.4618 0.8003 0.6065  3 Tm 3.49-3.50, 9 Sm 3.53-3.66
Sm 0.8003 0.1314 0.6065  3 Tm 3.49-3.50, 9 Sm 3.53-3.66
Er 0.6667 0.6667 0.9999  6 Tm 3.44, 3 Er 3.56
Er 0.3333 0.3333 0.0001  6 Tm 3.44, 3 Er 3.56
Tm 0.9353 0.2688 0.1945  2 Er 3.44, 3 Sm 3.49-3.50, 6 Tm 3.55-3.56
Tm 0.6014 0.9353 0.1945  2 Er 3.44, 3 Sm 3.49-3.50, 6 Tm 3.55-3.56
Tm 0.2688 0.6014 0.1945  2 Er 3.44, 3 Sm 3.49-3.50, 6 Tm 3.55-3.56
Tm 0.7312 0.3986 0.8055  2 Er 3.44, 3 Sm 3.49-3.50, 6 Tm 3.55-3.56
Tm 0.3986 0.0647 0.8055  2 Er 3.44, 3 Sm 3.49-3.50, 6 Tm 3.55-3.56
Tm 0.0647 0.7312 0.8055  2 Er 3.44, 3 Sm 3.49-3.50, 6 Tm 3.55-3.56

What should be chosen as the most stable of them? Choose entry A.

Entry A
The following is a DFT calculation (PBE-GGA) of crystalline SmEr4Tm6 at its relaxed geometry.

Summary:
Mass density (g cm⁻³): 8.2
M_tot (Bohr magnetons per cell): 0.00

a b c (Å): 7.5896 7.5896 8.3734
angles (deg): 116.95 116.95 90.00
With the nearest neighbours (Å) after each atom.
Atoms (fractional coordinates):
Sm 0.5000 0.5000 0.0000  8 Tm 3.57-3.79, 4 Er 3.73
Er 0.0887 0.7586 0.8473  3 Tm 3.00-3.20, 2 Er 3.18
Er 0.9113 0.9113 0.1527  3 Tm 3.00-3.20, 2 Er 3.18
Er 0.7586 0.0887 0.8473  3 Tm 3.00-3.20, 2 Er 3.18
Er 0.2414 0.2414 0.1527  3 Tm 3.00-3.20, 2 Er 3.18
Tm 0.9329 0.4362 0.3690  4 Er 3.20-3.52, 1 Sm 3.57, 2 Tm 3.58
Tm 0.4362 0.9329 0.3690  4 Er 3.20-3.52, 1 Sm 3.57, 2 Tm 3.58
Tm 0.5638 0.5638 0.6310  4 Er 3.20-3.52, 1 Sm 3.57, 2 Tm 3.58
Tm 0.0000 0.5000 0.0000  4 Er 3.00
Tm 0.0671 0.0671 0.6310  4 Er 3.20-3.52, 1 Sm 3.57, 2 Tm 3.58
Tm 0.5000 0.0000 0.0000  4 Er 3.00

Entry B
The following is a DFT calculation (PBE-GGA) of crystalline SmEr4Tm6 at its relaxed geometry.

Summary:
Mass density (g cm⁻³): 9.0
M_tot (Bohr magnetons per cell): 0.00

a b c (Å): 5.5705 5.5453 25.3804
angles (deg): 90.00 90.00 120.15
With the nearest neighbours (Å) after each atom.
Atoms (fractional coordinates):
Sm 0.8289 0.6578 0.2500  3 Tm 3.20-3.21
Sm 0.1711 0.3422 0.7500  3 Tm 3.20-3.21
Er 0.8351 0.6701 0.5415  8 Tm 3.37-3.64, 1 Er 3.75
Er 0.4942 0.9884 0.1214  5 Tm 3.08-3.26
Er 0.1649 0.3299 0.4585  8 Tm 3.37-3.64, 1 Er 3.75
Er 0.5058 0.0116 0.8786  5 Tm 3.08-3.26
Er 0.8351 0.6701 0.9585  8 Tm 3.37-3.64, 1 Er 3.75
Er 0.1649 0.3299 0.0415  8 Tm 3.37-3.64, 1 Er 3.75
Er 0.5058 0.0116 0.6214  5 Tm 3.08-3.26
Er 0.4942 0.9884 0.3786  5 Tm 3.08-3.26
Tm 0.5000 0.0000 0.0000  8 Er 3.08-3.38
Tm 0.5000 0.0000 0.5000  8 Er 3.08-3.38
Tm 0.1616 0.3232 0.3192  7 Tm 3.51-3.79, 4 Er 3.53-3.55, 3 Sm 3.64-3.66
Tm 0.8384 0.6768 0.6808  7 Tm 3.51-3.79, 4 Er 3.53-3.55, 3 Sm 3.64-3.66
Tm 0.8384 0.6768 0.8192  7 Tm 3.51-3.79, 4 Er 3.53-3.55, 3 Sm 3.64-3.66
Tm 0.1616 0.3232 0.1808  7 Tm 3.51-3.79, 4 Er 3.53-3.55, 3 Sm 3.64-3.66
Tm 0.8286 0.6573 0.3981  6 Er 3.24-3.57
Tm 0.1714 0.3427 0.6019  6 Er 3.24-3.57
Tm 0.1714 0.3427 0.8981  6 Er 3.24-3.57
Tm 0.8286 0.6573 0.1019  6 Er 3.24-3.57
Tm 0.4952 0.9905 0.2500  3 Sm 3.20-3.21, 2 Er 3.26
Tm 0.5048 0.0095 0.7500  3 Sm 3.20-3.21, 2 Er 3.26

What should be chosen as the most stable of them? Choose entry B.

Entry A
The following is a DFT calculation (PBE-GGA) of crystalline Sm3Y2Er2 at its relaxed geometry.

Summary:
Mass density (g cm⁻³): 7.0
M_tot (Bohr magnetons per cell): 0.00

a b c (Å): 3.5120 8.5530 8.9351
angles (deg): 118.41 101.33 90.00
With the nearest neighbours (Å) after each atom.
Atoms (fractional coordinates):
Sm 0.0000 0.5000 0.0000  4 Sm 3.34-3.51, 2 Er 3.53, 4 Y 3.58
Sm 0.2126 0.7988 0.4252  5 Sm 3.34-3.51, 3 Y 3.46-3.61, 3 Er 3.60-3.62
Sm 0.7874 0.2012 0.5748  5 Sm 3.34-3.51, 3 Y 3.46-3.61, 3 Er 3.60-3.62
Y 0.5651 0.9103 0.1302  3 Y 3.31-3.51, 5 Sm 3.46-3.61, 4 Er 3.59-3.69
Y 0.4349 0.0897 0.8698  3 Y 3.31-3.51, 5 Sm 3.46-3.61, 4 Er 3.59-3.69
Er 0.8539 0.6737 0.7077  4 Er 3.51-3.83, 4 Sm 3.53-3.62, 4 Y 3.59-3.69
Er 0.1461 0.3263 0.2923  4 Er 3.51-3.83, 4 Sm 3.53-3.62, 4 Y 3.59-3.69

Entry B
The following is a DFT calculation (PBE-GGA) of crystalline Sm3Y2Er2 at its relaxed geometry.

Summary:
Mass density (g cm⁻³): 7.1
M_tot (Bohr magnetons per cell): 0.00

a b c (Å): 3.5762 11.8491 6.1956
angles (deg): 69.77 73.14 98.61
With the nearest neighbours (Å) after each atom.
Atoms (fractional coordinates):
Sm 0.0000 0.0000 0.0000  4 Er 3.57, 6 Y 3.57-3.59, 2 Sm 3.58
Sm 0.5733 0.4303 0.2852  5 Sm 3.55-3.58, 5 Er 3.57-3.59, 2 Y 3.59
Sm 0.4267 0.5697 0.7148  5 Sm 3.55-3.58, 5 Er 3.57-3.59, 2 Y 3.59
Y 0.8580 0.1432 0.4274  5 Sm 3.57-3.59, 3 Er 3.57, 4 Y 3.58
Y 0.1420 0.8568 0.5726  5 Sm 3.57-3.59, 3 Er 3.57, 4 Y 3.58
Er 0.7138 0.2850 0.8575  7 Sm 3.57-3.59, 3 Y 3.57, 2 Er 3.58
Er 0.2862 0.7150 0.1425  7 Sm 3.57-3.59, 3 Y 3.57, 2 Er 3.58

What should be chosen as the most stable of them? Choose entry B.